First-principles (PBE) data for a relaxed RbSnPb2Br8 crystal, as listed in the Alexandria database.

Calculated values
Symmetry ... P2/m (10)
Formation energy without anion corrections ... -0.933 eV/atom

Cell: 7.2604 6.9276 9.3074 Å, 89.98 89.98 88.89°
Last column: nearest neighbours and their distance in Å.
Element x y z (fractional)
1 Br 0.3169 0.2412 0.0000  1 Sn 2.87
2 Br 0.6831 0.7588 0.0000  1 Sn 2.87
3 Br 0.1620 0.7604 0.2098  1 Sn 2.81, 1 Pb 3.04
4 Br 0.1623 0.7607 0.7903  1 Sn 2.81, 1 Pb 3.04
5 Br 0.8377 0.2393 0.2097  1 Sn 2.81, 1 Pb 3.04
6 Pb 0.5000 0.4999 0.7520  6 Br 2.98-3.23
7 Br 0.6238 0.7302 0.4999  2 Pb 2.98, 1 Rb 3.34
8 Rb 0.0000 0.0000 0.5000  6 Br 3.34-3.37
9 Sn 0.0000 0.0000 0.0000  6 Br 2.81-2.87
10 Br 0.3762 0.2698 0.5001  2 Pb 2.98, 1 Rb 3.34
11 Br 0.8380 0.2396 0.7902  1 Sn 2.81, 1 Pb 3.04
12 Pb 0.5000 0.5001 0.2480  6 Br 2.98-3.23